## NbOsN2 (GGA-PBE)

Data for a relaxed structure of NbOsN2.

**Energy relative to the lowest polymorph listed for this composition**: 603 meV per atom
**ΔE_f (raw)**: 0.549 eV/atom
**Size of the total moment**: 0.0000 μB/atom
**Final energy**: -35.753 eV for the cell shown

abc: 7.045 7.045 7.045
angles: 23.35 23.35 23.35
Fractional positions:
Nb 0.000 0.000 0.000
Os 0.500 0.500 0.500
N 0.103 0.103 0.103
N 0.897 0.897 0.897

---

## Nd4TlTe (GGA-PBE)

Data for a relaxed structure of Nd4TlTe.

**Energy relative to the lowest polymorph listed for this composition**: 0 meV per atom
**ΔE_f (raw)**: -0.555 eV/atom
**Size of the total moment**: 0.0076 μB/atom
**Final energy**: -111.645 eV for the cell shown

abc: 7.618 4.809 21.688
angles: 90.00 90.00 90.00
Fractional positions:
Nd 0.056 0.250 0.077
Nd 0.073 0.250 0.359
Nd 0.081 0.250 0.783
Nd 0.142 0.250 0.531
Nd 0.358 0.750 0.031
Nd 0.419 0.750 0.283
Nd 0.427 0.750 0.859
Nd 0.444 0.750 0.577
Nd 0.556 0.250 0.423
Nd 0.573 0.250 0.141
Nd 0.581 0.250 0.717
Nd 0.642 0.250 0.969
Nd 0.858 0.750 0.469
Nd 0.919 0.750 0.217
Nd 0.927 0.750 0.641
Nd 0.944 0.750 0.923
Tl 0.216 0.250 0.931
Tl 0.284 0.750 0.431
Tl 0.716 0.250 0.569
Tl 0.784 0.750 0.069
Te 0.206 0.250 0.216
Te 0.294 0.750 0.716
Te 0.706 0.250 0.284
Te 0.794 0.750 0.784

---

What did the first record say?
## NbOsN2 (GGA-PBE)

Data for a relaxed structure of NbOsN2.

**Energy relative to the lowest polymorph listed for this composition**: 603 meV per atom
**ΔE_f (raw)**: 0.549 eV/atom
**Size of the total moment**: 0.0000 μB/atom
**Final energy**: -35.753 eV for the cell shown

abc: 7.045 7.045 7.045
angles: 23.35 23.35 23.35
Fractional positions:
Nb 0.000 0.000 0.000
Os 0.500 0.500 0.500
N 0.103 0.103 0.103
N 0.897 0.897 0.897